Computed, not measured: a relaxed structure of TbPrMgRu at the PBE-GGA level of DFT.

Geometry as extended XYZ:
```
4
Lattice="-3.487 -1.305 -3.535 -0.829 -4.949 -1.083 -4.392 -2.240 1.431" Properties=species:S:1:pos:R:3 pbc="T T T"
Tb 0.000 0.000 0.000
Mg -2.177 -2.124 -0.797
Ru -6.531 -6.371 -2.390
Pr -4.354 -4.247 -1.594
```

Properties
* polymorph energy (0 for the lowest one): 0.085 eV per atom
* symmetry: F-43m, No. 216
* spin magnetization: 0.000 μB per atom
* energy of formation: -0.099 eV per atom

***

Computed, not measured: a relaxed structure of TbPrMgRu at the PBE-GGA level of DFT.

Geometry as extended XYZ:
```
4
Lattice="3.458 0.000 0.000 0.000 3.458 0.000 0.000 0.000 8.664" Properties=species:S:1:pos:R:3 pbc="T T T"
Mg 0.000 0.000 0.696
Ru 0.000 0.000 4.857
Pr 1.729 1.729 6.666
Tb 1.729 1.729 3.243
```

Properties
* polymorph energy (0 for the lowest one): 0.000 eV per atom
* symmetry: P4mm, No. 99
* spin magnetization: 0.000 μB per atom
* energy of formation: -0.184 eV per atom

***

Computed, not measured: a relaxed structure of PrTmMgRu at the PBE-GGA level of DFT.

Geometry as extended XYZ:
```
4
Lattice="-3.985 1.611 -2.729 -3.953 -3.104 -0.808 -4.456 0.904 2.291" Properties=species:S:1:pos:R:3 pbc="T T T"
Tm -6.197 -0.295 -0.623
Mg -3.098 -0.148 -0.311
Pr 0.000 0.000 0.000
Ru -9.295 -0.443 -0.934
```

Properties
* polymorph energy (0 for the lowest one): 0.096 eV per atom
* symmetry: F-43m, No. 216
* spin magnetization: 0.000 μB per atom
* energy of formation: -0.120 eV per atom

***

| no. | raw total energy (eV/cell) | Fermi-level density of states (states/eV/atom) |
| --- | --- | --- |
| 1 | -20.7 | 1.023 |
| 2 | -21.0 | 0.929 |
| 3 | -20.6 | 0.957 |